Density functional theory data (PBE) for an optimized crystal structure of EuThZn2.

Crystal system: cubic
Magnetic moment: 31.01 Bohr magnetons per cell
Volume: 100.77 Å³/f.u.
ΔE to the lowest computed polymorph: 0.214 eV/f.u.
E_form: -158.2 meV per atom
E: -5.219 eV per atom

a b c (Å): 7.3869 7.3869 7.3869
angles (deg): 90.00 90.00 90.00
Closest atoms and distances in Å follow each position.
Space group Fm-3m (No. 225)
Asymmetric unit:
1 Eu 0.0000 0.0000 0.0000 (multiplicity 4)  8 Zn 3.20
2 Th 0.0000 0.0000 0.5000 (multiplicity 4)  8 Zn 3.20
3 Zn 0.2500 0.2500 0.2500 (multiplicity 8)  4 Th 3.20, 4 Eu 3.20

***

Density functional theory data (PBE) for an optimized crystal structure of U2TeS2.

Crystal system: hexagonal
Magnetic moment: 12.02 Bohr magnetons per cell
Volume: 130.78 Å³/f.u.
ΔE to the lowest computed polymorph: 0.000 eV/f.u.
Uncorrected formation energy: -1126 meV per atom
E: -7.921 eV per atom

a b c (Å): 4.5286 4.5286 14.7274
angles (deg): 90.00 90.00 120.00
Closest atoms and distances in Å follow each position.
Space group P6_3/mmc (No. 194)
Asymmetric unit:
1 U 0.3333 0.6667 0.1159 (multiplicity 4)  4 S 2.70-2.75
2 Te 0.0000 0.0000 0.2500 (multiplicity 2)  6 U 3.28
3 S 0.3333 0.6667 0.5709 (multiplicity 4)  4 U 2.70-2.75

***

Density functional theory data (PBE) for an optimized crystal structure of PrNdAlZn.

Crystal system: tetragonal
Magnetic moment: 0.00 Bohr magnetons per cell
Volume: 103.15 Å³/f.u.
ΔE to the lowest computed polymorph: 0.000 eV/f.u.
E_form: -324.3 meV per atom
E: -3.965 eV per atom

a b c (Å): 3.6872 3.6872 7.5876
angles (deg): 90.00 90.00 90.00
Closest atoms and distances in Å follow each position.
Space group P4mm (No. 99)
Asymmetric unit:
1 Pr 0.0000 0.0000 0.0000 (multiplicity 1)  4 Zn 3.23, 4 Al 3.25
2 Nd 0.0000 0.0000 0.5080 (multiplicity 1)  4 Zn 3.19, 4 Al 3.23
3 Al 0.5000 0.5000 0.2566 (multiplicity 1)  4 Nd 3.23, 4 Pr 3.25
4 Zn 0.5000 0.5000 0.7494 (multiplicity 1)  4 Nd 3.19, 4 Pr 3.23

***

Density functional theory data (PBE) for an optimized crystal structure of KAg5.

Crystal system: orthorhombic
Magnetic moment: 0.00 Bohr magnetons per cell
Volume: 132.90 Å³/f.u.
E_form: 191.1 meV per atom
E: -2.368 eV per atom

a b c (Å): 5.3004 10.0043 5.0126
angles (deg): 90.00 90.00 90.00
Closest atoms and distances in Å follow each position.
Space group Cmmm (No. 65)
Asymmetric unit:
1 K 0.0000 0.0000 0.0000 (multiplicity 2)  10 Ag 3.12-3.36
2 Ag 0.0000 0.2106 0.5000 (multiplicity 4)  5 Ag 2.77-2.90
3 Ag 0.0000 0.3358 0.0000 (multiplicity 4)  4 Ag 2.80-3.00, 2 K 3.12
4 Ag 0.0000 0.5000 0.5000 (multiplicity 2)  6 Ag 2.90-3.00

***

Density functional theory data (PBE) for an optimized crystal structure of BaZn6Rh2.

Crystal system: orthorhombic
Magnetic moment: 0.00 Bohr magnetons per cell
Volume: 171.39 Å³/f.u.
E_form: -175.7 meV per atom
E: -2.872 eV per atom

a b c (Å): 4.1143 7.2959 11.4190
angles (deg): 90.00 90.00 90.00
Closest atoms and distances in Å follow each position.
Space group Immm (No. 71)
Asymmetric unit:
1 Ba 0.0000 0.0000 0.0000 (multiplicity 2)  8 Zn 3.22-3.52
2 Zn 0.0000 0.1612 0.5000 (multiplicity 4)  3 Zn 2.35-2.47
3 Zn 0.0000 0.1843 0.2846 (multiplicity 8)  4 Zn 2.40-2.69, 2 Rh 2.65
4 Rh 0.0000 0.5000 0.1296 (multiplicity 4)  10 Zn 2.65-2.90, 1 Rh 2.96

***

Density functional theory data (PBE) for an optimized crystal structure of PrEr2Pd.

Crystal system: tetragonal
Magnetic moment: 0.00 Bohr magnetons per cell
Volume: 109.24 Å³/f.u.
ΔE to the lowest computed polymorph: 0.077 eV/f.u.
E_form: -439.9 meV per atom
E: -5.214 eV per atom

a b c (Å): 3.5515 3.5515 8.6611
angles (deg): 90.00 90.00 90.00
Closest atoms and distances in Å follow each position.
Space group P4/mmm (No. 123)
Asymmetric unit:
1 Pr 0.0000 0.0000 0.0000 (multiplicity 1)  4 Pr 3.55, 8 Er 3.67
2 Er 0.5000 0.5000 0.3093 (multiplicity 2)  4 Pd 3.01, 1 Er 3.30
3 Pd 0.0000 0.0000 0.5000 (multiplicity 1)  8 Er 3.01

***

Density functional theory data (PBE) for an optimized crystal structure of DyHo2Er.

Crystal system: tetragonal
Magnetic moment: 0.00 Bohr magnetons per cell
Volume: 122.89 Å³/f.u.
ΔE to the lowest computed polymorph: 0.078 eV/f.u.
E_form: 21.3 meV per atom
E: -4.559 eV per atom

a b c (Å): 3.5155 3.5155 9.9436
angles (deg): 90.00 90.00 90.00
Closest atoms and distances in Å follow each position.
Space group P4/mmm (No. 123)
Asymmetric unit:
1 Dy 0.0000 0.0000 0.0000 (multiplicity 1)  4 Dy 3.52, 8 Ho 3.52
2 Ho 0.5000 0.5000 0.2511 (multiplicity 2)  4 Er 3.51, 4 Ho 3.52, 4 Dy 3.52
3 Er 0.0000 0.0000 0.5000 (multiplicity 1)  8 Ho 3.51, 4 Er 3.52

***

Density functional theory data (PBE) for an optimized crystal structure of Ce4ZnNi2.

Crystal system: trigonal
Magnetic moment: 4.28 Bohr magnetons per cell
Volume: 155.47 Å³/f.u.
E_form: -123.6 meV per atom
E: -5.348 eV per atom

a b c (Å): 4.7984 4.7984 23.3901
angles (deg): 90.00 90.00 120.00
Closest atoms and distances in Å follow each position.
Space group R-3m (No. 166, hexagonal axes)
Asymmetric unit:
1 Ce 0.0000 0.0000 0.1066 (multiplicity 6)  3 Ni 2.96, 3 Ce 3.03, 3 Zn 3.11
2 Ce 0.0000 0.0000 0.2794 (multiplicity 6)  4 Ni 2.72-2.78, 3 Ce 3.03
3 Zn 0.0000 0.0000 0.5000 (multiplicity 3)  2 Ni 2.44
4 Ni 0.0000 0.0000 0.3957 (multiplicity 6)  1 Zn 2.44, 1 Ce 2.72

***

Density functional theory data (PBE) for an optimized crystal structure of HoTmTh.

Crystal system: monoclinic
Magnetic moment: 0.00 Bohr magnetons per cell
Volume: 94.66 Å³/f.u.
ΔE to the lowest computed polymorph: 0.044 eV/f.u.
E_form: 34.1 meV per atom
E: -5.456 eV per atom

a b c (Å): 3.5675 5.7273 9.4344
angles (deg): 90.00 100.83 90.00
Closest atoms and distances in Å follow each position.
Space group P2_1/m (No. 11)
Asymmetric unit:
1 Ho 0.0559 0.2500 0.1128 (multiplicity 2)  6 Tm 3.52-3.58, 4 Ho 3.54-3.57, 2 Th 3.60-3.62
2 Tm 0.3907 0.2500 0.7778 (multiplicity 2)  4 Th 3.51-3.57, 6 Ho 3.52-3.58, 2 Tm 3.57
3 Th 0.2716 0.7500 0.5485 (multiplicity 2)  6 Th 3.48-3.57, 4 Tm 3.51-3.57, 2 Ho 3.60-3.62

***

Density functional theory data (PBE) for an optimized crystal structure of LaCoPCl2.

Crystal system: tetragonal
Magnetic moment: 1.77 Bohr magnetons per cell
Volume: 174.74 Å³/f.u.
ΔE to the lowest computed polymorph: 3.573 eV/f.u.
Uncorrected formation energy: -122 meV per atom
E: -4.349 eV per atom

a b c (Å): 5.4317 5.4317 5.9227
angles (deg): 90.00 90.00 90.00
Closest atoms and distances in Å follow each position.
Space group P4/mmm (No. 123)
Asymmetric unit:
1 La 0.0000 0.0000 0.0000 (multiplicity 1)  4 Cl 2.72, 2 P 2.96
2 Co 0.5000 0.5000 0.5000 (multiplicity 1)  4 P 3.84, 8 Cl 4.02
3 P 0.0000 0.0000 0.5000 (multiplicity 1)  2 La 2.96
4 Cl 0.0000 0.5000 0.0000 (multiplicity 2)  2 La 2.72

***

Density functional theory data (PBE) for an optimized crystal structure of HoGe2Pd.

Crystal system: trigonal
Magnetic moment: 0.00 Bohr magnetons per cell
Volume: 77.23 Å³/f.u.
E_form: -696.3 meV per atom
E: -5.448 eV per atom

a b c (Å): 4.2189 4.2189 15.0319
angles (deg): 90.00 90.00 120.00
Closest atoms and distances in Å follow each position.
Space group R-3m (No. 166, hexagonal axes)
Asymmetric unit:
1 Ho 0.0000 0.0000 0.0000 (multiplicity 3)  6 Ge 2.94
2 Ge 0.0000 0.0000 0.2240 (multiplicity 6)  3 Pd 2.58
3 Pd 0.0000 0.0000 0.5000 (multiplicity 3)  6 Ge 2.58

***

Density functional theory data (PBE) for an optimized crystal structure of CsSc2S.

Crystal system: trigonal
Magnetic moment: 0.00 Bohr magnetons per cell
Volume: 115.81 Å³/f.u.
Uncorrected formation energy: -570 meV per atom
E: -4.981 eV per atom

a b c (Å): 3.6328 3.6328 30.3986
angles (deg): 90.00 90.00 120.00
Closest atoms and distances in Å follow each position.
Space group R-3m (No. 166, hexagonal axes)
Asymmetric unit:
1 Cs 0.0000 0.0000 0.0000 (multiplicity 3)  2 Sc 3.62, 6 Cs 3.63
2 Sc 0.0000 0.0000 0.1192 (multiplicity 6)  3 S 2.55
3 S 0.0000 0.0000 0.5000 (multiplicity 3)  6 Sc 2.55

***

Density functional theory data (PBE) for an optimized crystal structure of HfTaTcOs.

Crystal system: orthorhombic
Magnetic moment: 0.00 Bohr magnetons per cell
Volume: 66.71 Å³/f.u.
ΔE to the lowest computed polymorph: 0.058 eV/f.u.
E_form: -569.1 meV per atom
E: -11.420 eV per atom

a b c (Å): 3.2126 4.5536 4.5601
angles (deg): 90.00 90.00 90.00
Closest atoms and distances in Å follow each position.
Space group Pmmm (No. 47)
Asymmetric unit:
1 Hf 0.0000 0.0000 0.0000 (multiplicity 1)  4 Os 2.79, 4 Tc 2.79
2 Ta 0.0000 0.5000 0.5000 (multiplicity 1)  4 Tc 2.79, 4 Os 2.79
3 Tc 0.5000 0.0000 0.5000 (multiplicity 1)  4 Ta 2.79, 4 Hf 2.79
4 Os 0.5000 0.5000 0.0000 (multiplicity 1)  4 Hf 2.79, 4 Ta 2.79

***

Density functional theory data (PBE) for an optimized crystal structure of Tl2Ge2Se3.

Crystal system: triclinic
Magnetic moment: 0.00 Bohr magnetons per cell
Volume: 207.05 Å³/f.u.
ΔE to the lowest computed polymorph: 0.000 eV/f.u.
Uncorrected formation energy: -266 meV per atom
E: -3.755 eV per atom

a b c (Å): 4.1210 7.0901 7.4456
angles (deg): 95.62 90.18 106.89
Closest atoms and distances in Å follow each position.
Space group P-1 (No. 2)
Asymmetric unit:
1 Tl 0.1128 0.2208 0.3838 (multiplicity 2)  4 Se 3.07-3.43
2 Ge 0.3671 0.7338 0.0844 (multiplicity 2)  1 Se 2.54
3 Se 0.0000 0.0000 0.0000 (multiplicity 1)  4 Ge 2.85, 2 Tl 3.09
4 Se 0.2579 0.5184 0.7847 (multiplicity 2)  1 Ge 2.54

***

Density functional theory data (PBE) for an optimized crystal structure of CsTeWN2.

Crystal system: tetragonal
Magnetic moment: 0.72 Bohr magnetons per cell
Volume: 100.49 Å³/f.u.
ΔE to the lowest computed polymorph: 0.000 eV/f.u.
Uncorrected formation energy: 693 meV per atom
E: -6.027 eV per atom

a b c (Å): 4.2810 4.2810 5.4832
angles (deg): 90.00 90.00 90.00
Closest atoms and distances in Å follow each position.
Space group P4/mmm (No. 123)
Asymmetric unit:
1 Cs 0.0000 0.0000 0.0000 (multiplicity 1)  4 Te 3.03
2 Te 0.5000 0.5000 0.0000 (multiplicity 1)  2 W 2.74, 4 Cs 3.03
3 W 0.5000 0.5000 0.5000 (multiplicity 1)  4 N 2.14
4 N 0.0000 0.5000 0.5000 (multiplicity 2)  2 W 2.14

***

Density functional theory data (PBE) for an optimized crystal structure of Na2TlCdFe.

Crystal system: tetragonal
Magnetic moment: 0.09 Bohr magnetons per cell
Volume: 146.53 Å³/f.u.
E_form: 787.9 meV per atom
E: -2.089 eV per atom

a b c (Å): 5.4044 5.4044 5.0167
angles (deg): 90.00 90.00 90.00
Closest atoms and distances in Å follow each position.
Space group P4/mmm (No. 123)
Asymmetric unit:
1 Na 0.0000 0.5000 0.0000 (multiplicity 2)  2 Fe 2.70
2 Tl 0.0000 0.0000 0.5000 (multiplicity 1)  8 Na 3.69, 4 Cd 3.82
3 Cd 0.5000 0.5000 0.5000 (multiplicity 1)  2 Fe 2.51
4 Fe 0.5000 0.5000 0.0000 (multiplicity 1)  2 Cd 2.51, 4 Na 2.70

***

Density functional theory data (PBE) for an optimized crystal structure of FeCoPt2.

Crystal system: tetragonal
Magnetic moment: 10.95 Bohr magnetons per cell
Volume: 55.22 Å³/f.u.
E_form: -149.3 meV per atom
E: -7.062 eV per atom

a b c (Å): 3.8006 3.8006 7.6461
angles (deg): 90.00 90.00 90.00
Closest atoms and distances in Å follow each position.
Space group I-4m2 (No. 119)
Asymmetric unit:
1 Fe 0.0000 0.0000 0.0000 (multiplicity 2)  8 Pt 2.69-2.70, 4 Co 2.70
2 Co 0.0000 0.5000 0.7500 (multiplicity 2)  8 Pt 2.69-2.70, 4 Fe 2.70
3 Pt 0.0000 0.0000 0.5000 (multiplicity 2)  4 Fe 2.69, 4 Co 2.70, 4 Pt 2.70
4 Pt 0.0000 0.5000 0.2500 (multiplicity 2)  4 Co 2.69, 4 Fe 2.70, 4 Pt 2.70

***

Density functional theory data (PBE) for an optimized crystal structure of Fe2RuPtN.

Crystal system: tetragonal
Magnetic moment: 5.92 Bohr magnetons per cell
Volume: 60.90 Å³/f.u.
Uncorrected formation energy: -18 meV per atom
E: -8.131 eV per atom

a b c (Å): 3.9279 3.9279 3.9472
angles (deg): 90.00 90.00 90.00
Closest atoms and distances in Å follow each position.
Space group P4/mmm (No. 123)
Asymmetric unit:
1 Fe 0.0000 0.5000 0.0000 (multiplicity 2)  2 N 1.96
2 Ru 0.0000 0.0000 0.5000 (multiplicity 1)  2 N 1.97
3 Pt 0.5000 0.5000 0.5000 (multiplicity 1)  4 Ru 2.78, 8 Fe 2.78
4 N 0.0000 0.0000 0.0000 (multiplicity 1)  4 Fe 1.96, 2 Ru 1.97

***

Density functional theory data (PBE) for an optimized crystal structure of LiTlRu2Pb.

Crystal system: tetragonal
Magnetic moment: 2.18 Bohr magnetons per cell
Volume: 151.37 Å³/f.u.
E_form: 1489.0 meV per atom
E: -3.819 eV per atom

a b c (Å): 5.0913 5.0913 5.8397
angles (deg): 90.00 90.00 90.00
Closest atoms and distances in Å follow each position.
Space group P4/mmm (No. 123)
Asymmetric unit:
1 Li 0.0000 0.0000 0.0000 (multiplicity 1)  4 Tl 3.60, 8 Ru 3.87
2 Tl 0.5000 0.5000 0.0000 (multiplicity 1)  2 Pb 2.92
3 Ru 0.0000 0.5000 0.5000 (multiplicity 2)  2 Pb 2.55
4 Pb 0.5000 0.5000 0.5000 (multiplicity 1)  4 Ru 2.55

***

Density functional theory data (PBE) for an optimized crystal structure of PuMgCdRu.

Crystal system: cubic
Magnetic moment: 20.22 Bohr magnetons per cell
Volume: 82.25 Å³/f.u.
E_form: 129.2 meV per atom
E: -6.400 eV per atom

a b c (Å): 6.9035 6.9035 6.9035
angles (deg): 90.00 90.00 90.00
Closest atoms and distances in Å follow each position.
Space group F-43m (No. 216)
Asymmetric unit:
1 Pu 0.0000 0.0000 0.0000 (multiplicity 4)  4 Cd 2.99, 4 Ru 2.99
2 Mg 0.0000 0.0000 0.5000 (multiplicity 4)  4 Cd 2.99, 4 Ru 2.99
3 Cd 0.2500 0.2500 0.7500 (multiplicity 4)  4 Mg 2.99, 4 Pu 2.99
4 Ru 0.2500 0.2500 0.2500 (multiplicity 4)  4 Mg 2.99, 4 Pu 2.99